Material: Na4Pm3FeO8
Method: DFT, PBE with a Hubbard U
State: relaxed

a = 6.8798 Å, b = 6.8661 Å, c = 6.8798 Å
α = 120.07°, β = 120.00°, γ = 90.00°
Closest atoms and distances in Å follow each position.
Atoms (fractional coordinates):
Na 0.5000 0.0000 0.0000  6 O 2.67-2.68
Na 0.5000 0.0000 0.5000  6 O 2.51-2.54
Na 0.0000 0.0000 0.0000  6 O 2.51-2.54
Na 0.0000 0.0000 0.5000  6 O 2.51-2.54
Pm 0.5000 0.5000 0.0000  6 O 2.33-2.37
Pm 0.5000 0.5000 0.5000  6 O 2.33-2.37
Pm 0.0000 0.5000 0.5000  6 O 2.33-2.37
Fe 0.0000 0.5000 0.0000  6 O 2.19
O 0.2247 0.7103 0.9856  1 Fe 2.19, 2 Pm 2.37
O 0.2250 0.7105 0.4500  1 Fe 2.19, 2 Pm 2.37
O 0.2605 0.2815 0.5210  3 Pm 2.33, 3 Na 2.54
O 0.7609 0.7103 0.9856  1 Fe 2.19, 2 Pm 2.37
O 0.2391 0.2897 0.0144  1 Fe 2.19, 2 Pm 2.37
O 0.7395 0.7185 0.4790  3 Pm 2.33, 3 Na 2.54
O 0.7750 0.2895 0.5500  1 Fe 2.19, 2 Pm 2.37
O 0.7753 0.2897 0.0144  1 Fe 2.19, 2 Pm 2.37

## Properties
Uncorrected energy = -6.368 eV/atom
Total moment = 5.201 μB/f.u.
V = 229.5 Å³/f.u.
DOS(E_F) = 0.00 states/eV per cell